# 1
# AcSmSi2 PBE-GGA optimized geometry
# Relative energy among the computed polymorphs   0.255 eV/atom
# ΔE_f (raw)   -1.52 eV/f.u.
data_AcSmSi2
_chemical_formula_sum 'Ac1 Sm1 Si2'
_cell_length_a 4.7534
_cell_length_b 4.7534
_cell_length_c 6.4492
_cell_angle_alpha 68.38
_cell_angle_beta 68.38
_cell_angle_gamma 60.00
_symmetry_space_group_name_H-M 'P 1'
_symmetry_Int_Tables_number 1
_symmetry_space_group_name_Hall 'P 1'
loop_
_atom_site_label
_atom_site_type_symbol
_atom_site_fract_x
_atom_site_fract_y
_atom_site_fract_z
Ac1 Ac 0.0000 0.0000 0.0000
Si1 Si 0.7669 0.7669 0.6992
Si2 Si 0.2331 0.2331 0.3008
Sm1 Sm 0.5000 0.5000 0.5000

---

# 2
# CaErGa PBE-GGA optimized geometry
# ΔE_f   -275 meV per atom
# Relative energy among the computed polymorphs   0.067 eV/atom
data_CaErGa
_chemical_formula_sum 'Ca2 Er2 Ga2'
_cell_length_a 4.9627
_cell_length_b 4.9626
_cell_length_c 8.1686
_cell_angle_alpha 90.00
_cell_angle_beta 90.01
_cell_angle_gamma 60.01
_symmetry_space_group_name_H-M 'P 1'
_symmetry_Int_Tables_number 1
_symmetry_space_group_name_Hall 'P 1'
loop_
_atom_site_label
_atom_site_type_symbol
_atom_site_fract_x
_atom_site_fract_y
_atom_site_fract_z
Ca1 Ca 0.6668 0.1666 0.3528
Ca2 Ca 0.3332 0.8334 0.6472
Er1 Er 0.6667 0.1667 0.9021
Er2 Er 0.3333 0.8333 0.0979
Ga1 Ga 0.0000 0.5000 0.8269
Ga2 Ga 0.0000 0.5000 0.1731

---

# 3
# PuIn2Hg5 PBE-GGA optimized geometry
# ΔE_f   -74 meV per atom
# Relative energy among the computed polymorphs   0.000 eV/atom
data_PuIn2Hg5
_chemical_formula_sum 'Pu1 In2 Hg5'
_cell_length_a 4.7218
_cell_length_b 4.7218
_cell_length_c 9.7952
_cell_angle_alpha 103.87
_cell_angle_beta 103.87
_cell_angle_gamma 90.01
_symmetry_space_group_name_H-M 'P 1'
_symmetry_Int_Tables_number 1
_symmetry_space_group_name_Hall 'P 1'
loop_
_atom_site_label
_atom_site_type_symbol
_atom_site_fract_x
_atom_site_fract_y
_atom_site_fract_z
Pu1 Pu 0.5000 0.5000 0.0000
In1 In 0.2543 0.2543 0.5092
In2 In 0.7457 0.7457 0.4908
Hg1 Hg 0.1248 0.6245 0.2494
Hg2 Hg 0.6245 0.1248 0.2494
Hg3 Hg 0.3755 0.8752 0.7506
Hg4 Hg 0.8752 0.3755 0.7506
Hg5 Hg 0.0000 0.0000 0.0000

---

# 4
# K2SiH4N2O2 PBE-GGA optimized geometry
# Calculated total energy   -60.27 eV per formula unit
data_K2SiH4N2O2
_chemical_formula_sum 'K8 Si4 H16 N8 O8'
_cell_length_a 10.0390
_cell_length_b 6.8476
_cell_length_c 7.6844
_cell_angle_alpha 89.30
_cell_angle_beta 90.00
_cell_angle_gamma 90.00
_symmetry_space_group_name_H-M 'P 1'
_symmetry_Int_Tables_number 1
_symmetry_space_group_name_Hall 'P 1'
loop_
_atom_site_label
_atom_site_type_symbol
_atom_site_fract_x
_atom_site_fract_y
_atom_site_fract_z
H1 H 0.3804 0.0534 0.9383
H2 H 0.8804 0.9466 0.5617
H3 H 0.6196 0.9466 0.0617
H4 H 0.1196 0.0534 0.4383
H5 H 0.2662 0.0476 0.7818
H6 H 0.7662 0.9524 0.7182
H7 H 0.7338 0.9524 0.2182
H8 H 0.2338 0.0476 0.2818
H9 H 0.3165 0.7449 0.4691
H10 H 0.8165 0.2551 0.0309
H11 H 0.6835 0.2551 0.5309
H12 H 0.1835 0.7449 0.9691
H13 H 0.4409 0.8996 0.4494
H14 H 0.9409 0.1004 0.0506
H15 H 0.5591 0.1004 0.5506
H16 H 0.0591 0.8996 0.9494
K1 K 0.0624 0.6493 0.6609
K2 K 0.5624 0.3507 0.8391
K3 K 0.9376 0.3507 0.3391
K4 K 0.4376 0.6493 0.1609
K5 K 0.6951 0.6598 0.4805
K6 K 0.1951 0.3402 0.0195
K7 K 0.3049 0.3402 0.5195
K8 K 0.8049 0.6598 0.9805
N1 N 0.6348 0.9770 0.1911
N2 N 0.1348 0.0230 0.3089
N3 N 0.3652 0.0230 0.8089
N4 N 0.8652 0.9770 0.6911
N5 N 0.4095 0.7787 0.5172
N6 N 0.9095 0.2213 0.9828
N7 N 0.5905 0.2213 0.4828
N8 N 0.0905 0.7787 0.0172
O1 O 0.3308 0.6084 0.8212
O2 O 0.8308 0.3916 0.6788
O3 O 0.6692 0.3916 0.1788
O4 O 0.1692 0.6084 0.3212
O5 O 0.5792 0.7736 0.8061
O6 O 0.0792 0.2264 0.6939
O7 O 0.4208 0.2264 0.1939
O8 O 0.9208 0.7736 0.3061
Si1 Si 0.9241 0.2137 0.7518
Si2 Si 0.4241 0.7863 0.7482
Si3 Si 0.0759 0.7863 0.2482
Si4 Si 0.5759 0.2137 0.2518

---

# 5
# SmCd11Rh PBE-GGA optimized geometry
# ΔE_f   -134 meV per atom
data_SmCd11Rh
_chemical_formula_sum 'Sm1 Cd11 Rh1'
_cell_length_a 5.6662
_cell_length_b 7.6018
_cell_length_c 7.6858
_cell_angle_alpha 82.11
_cell_angle_beta 68.37
_cell_angle_gamma 68.15
_symmetry_space_group_name_H-M 'P 1'
_symmetry_Int_Tables_number 1
_symmetry_space_group_name_Hall 'P 1'
loop_
_atom_site_label
_atom_site_type_symbol
_atom_site_fract_x
_atom_site_fract_y
_atom_site_fract_z
Sm1 Sm 0.0000 0.0000 0.0000
Cd1 Cd 0.2993 0.2142 0.2059
Cd2 Cd 0.7007 0.7858 0.7941
Cd3 Cd 0.4947 0.7858 0.2059
Cd4 Cd 0.5053 0.2142 0.7941
Cd5 Cd 0.3632 0.6420 0.6635
Cd6 Cd 0.6368 0.3580 0.3365
Cd7 Cd 0.9733 0.3580 0.6635
Cd8 Cd 0.0267 0.6420 0.3365
Cd9 Cd 0.0000 0.5000 0.0000
Cd10 Cd 0.5000 0.0000 0.5000
Cd11 Cd 0.0000 0.0000 0.5000
Rh1 Rh 0.5000 0.5000 0.0000

---

# 6
# HfTc PBE-GGA optimized geometry
# ΔE_f   -47 meV per atom
data_HfTc
_chemical_formula_sum 'Hf4 Tc4'
_cell_length_a 5.5746
_cell_length_b 2.9032
_cell_length_c 8.7915
_cell_angle_alpha 90.00
_cell_angle_beta 90.00
_cell_angle_gamma 90.00
_symmetry_space_group_name_H-M 'P 1'
_symmetry_Int_Tables_number 1
_symmetry_space_group_name_Hall 'P 1'
loop_
_atom_site_label
_atom_site_type_symbol
_atom_site_fract_x
_atom_site_fract_y
_atom_site_fract_z
Hf1 Hf 0.2500 0.2500 0.0000
Hf2 Hf 0.2500 0.7500 0.5000
Hf3 Hf 0.7500 0.2500 0.5000
Hf4 Hf 0.7500 0.7500 0.0000
Tc1 Tc 0.0000 0.5000 0.2500
Tc2 Tc 0.0000 0.5000 0.7500
Tc3 Tc 0.5000 0.0000 0.2500
Tc4 Tc 0.5000 0.0000 0.7500

---

# 7
# TeRu2Cl PBE-GGA optimized geometry
# Relative energy among the computed polymorphs   0.371 eV/atom
# ΔE_f (raw)   2.05 eV/f.u.
data_TeRu2Cl
_chemical_formula_sum 'Te1 Ru2 Cl1'
_cell_length_a 3.2103
_cell_length_b 3.2103
_cell_length_c 6.8307
_cell_angle_alpha 90.00
_cell_angle_beta 90.00
_cell_angle_gamma 90.00
_symmetry_space_group_name_H-M 'P 1'
_symmetry_Int_Tables_number 1
_symmetry_space_group_name_Hall 'P 1'
loop_
_atom_site_label
_atom_site_type_symbol
_atom_site_fract_x
_atom_site_fract_y
_atom_site_fract_z
Cl1 Cl 0.5000 0.5000 0.7500
Ru1 Ru 0.0000 0.0000 0.0374
Ru2 Ru 0.0000 0.0000 0.4626
Te1 Te 0.5000 0.5000 0.2500

---

# 8
# NdDyBiSe PBE-GGA optimized geometry
# ΔE_f (raw)   -4.92 eV/f.u.
data_NdDyBiSe
_chemical_formula_sum 'Nd1 Dy1 Bi1 Se1'
_cell_length_a 4.2424
_cell_length_b 4.2427
_cell_length_c 8.0226
_cell_angle_alpha 90.00
_cell_angle_beta 105.33
_cell_angle_gamma 120.00
_symmetry_space_group_name_H-M 'P 1'
_symmetry_Int_Tables_number 1
_symmetry_space_group_name_Hall 'P 1'
loop_
_atom_site_label
_atom_site_type_symbol
_atom_site_fract_x
_atom_site_fract_y
_atom_site_fract_z
Nd1 Nd 0.9727 0.3844 0.3721
Dy1 Dy 0.2986 0.5472 0.8612
Bi1 Bi 0.1276 0.9618 0.1045
Se1 Se 0.4791 0.1375 0.6319

---

# 9
# AcLa8Dy6 PBE-GGA optimized geometry
# ΔE_f   148 meV per atom
data_AcLa8Dy6
_chemical_formula_sum 'Ac1 La8 Dy6'
_cell_length_a 8.7445
_cell_length_b 8.7445
_cell_length_c 8.7445
_cell_angle_alpha 65.88
_cell_angle_beta 65.88
_cell_angle_gamma 65.88
_symmetry_space_group_name_H-M 'P 1'
_symmetry_Int_Tables_number 1
_symmetry_space_group_name_Hall 'P 1'
loop_
_atom_site_label
_atom_site_type_symbol
_atom_site_fract_x
_atom_site_fract_y
_atom_site_fract_z
Ac1 Ac 0.0000 0.0000 0.0000
La1 La 0.6564 0.7740 0.0827
La2 La 0.7740 0.0827 0.6564
La3 La 0.0827 0.6564 0.7740
La4 La 0.3436 0.2260 0.9173
La5 La 0.2260 0.9173 0.3436
La6 La 0.9173 0.3436 0.2260
La7 La 0.5740 0.5740 0.5740
La8 La 0.4260 0.4260 0.4260
Dy1 Dy 0.1063 0.2675 0.5517
Dy2 Dy 0.2675 0.5517 0.1063
Dy3 Dy 0.5517 0.1063 0.2675
Dy4 Dy 0.8937 0.7325 0.4483
Dy5 Dy 0.7325 0.4483 0.8937
Dy6 Dy 0.4483 0.8937 0.7325

---

# 10
# Ac6InAu5 PBE-GGA optimized geometry
# ΔE_f   -710 meV per atom
data_Ac6InAu5
_chemical_formula_sum 'Ac6 In1 Au5'
_cell_length_a 5.5344
_cell_length_b 7.9632
_cell_length_c 9.6395
_cell_angle_alpha 65.60
_cell_angle_beta 73.40
_cell_angle_gamma 90.00
_symmetry_space_group_name_H-M 'P 1'
_symmetry_Int_Tables_number 1
_symmetry_space_group_name_Hall 'P 1'
loop_
_atom_site_label
_atom_site_type_symbol
_atom_site_fract_x
_atom_site_fract_y
_atom_site_fract_z
Ac1 Ac 0.8289 0.5742 0.3422
Ac2 Ac 0.8289 0.0836 0.3422
Ac3 Ac 0.5000 0.7374 0.0000
Ac4 Ac 0.5000 0.2626 0.0000
Ac5 Ac 0.1711 0.9164 0.6578
Ac6 Ac 0.1711 0.4258 0.6578
Au1 Au 0.6551 0.1554 0.6891
Au2 Au 0.3320 0.3318 0.3365
Au3 Au 0.0000 0.5000 0.0000
Au4 Au 0.6680 0.6682 0.6635
Au5 Au 0.3449 0.8446 0.3109
In1 In 0.0000 0.0000 0.0000

---

# 11
# EuZnPb PBE-GGA optimized geometry
# ΔE_f   312 meV per atom
data_EuZnPb
_chemical_formula_sum 'Eu1 Zn1 Pb1'
_cell_length_a 3.3639
_cell_length_b 3.3639
_cell_length_c 8.8429
_cell_angle_alpha 100.96
_cell_angle_beta 100.96
_cell_angle_gamma 90.00
_symmetry_space_group_name_H-M 'P 1'
_symmetry_Int_Tables_number 1
_symmetry_space_group_name_Hall 'P 1'
loop_
_atom_site_label
_atom_site_type_symbol
_atom_site_fract_x
_atom_site_fract_y
_atom_site_fract_z
Pb1 Pb 0.1407 0.1407 0.2815
Eu1 Eu 0.9448 0.9448 0.8896
Zn1 Zn 0.7645 0.7645 0.5290

---

# 12
# CeAlZn4 PBE-GGA optimized geometry
# ΔE_f   -82 meV per atom
# Relative energy among the computed polymorphs   0.158 eV/atom
data_CeAlZn4
_chemical_formula_sum 'Ce1 Al1 Zn4'
_cell_length_a 5.3902
_cell_length_b 5.3902
_cell_length_c 5.3902
_cell_angle_alpha 60.00
_cell_angle_beta 60.00
_cell_angle_gamma 60.00
_symmetry_space_group_name_H-M 'P 1'
_symmetry_Int_Tables_number 1
_symmetry_space_group_name_Hall 'P 1'
loop_
_atom_site_label
_atom_site_type_symbol
_atom_site_fract_x
_atom_site_fract_y
_atom_site_fract_z
Zn1 Zn 0.6250 0.6250 0.1250
Zn2 Zn 0.6250 0.1250 0.6250
Zn3 Zn 0.6250 0.6250 0.6250
Zn4 Zn 0.1250 0.6250 0.6250
Al1 Al 0.2500 0.2500 0.2500
Ce1 Ce 0.0000 0.0000 0.0000

---

# 13
# Th3Os PBE-GGA optimized geometry
# ΔE_f   -106 meV per atom
data_Th3Os
_chemical_formula_sum 'Th3 Os1'
_cell_length_a 3.7259
_cell_length_b 6.0392
_cell_length_c 6.2386
_cell_angle_alpha 118.95
_cell_angle_beta 107.37
_cell_angle_gamma 90.00
_symmetry_space_group_name_H-M 'P 1'
_symmetry_Int_Tables_number 1
_symmetry_space_group_name_Hall 'P 1'
loop_
_atom_site_label
_atom_site_type_symbol
_atom_site_fract_x
_atom_site_fract_y
_atom_site_fract_z
Os1 Os 0.0000 0.0424 0.0000
Th1 Th 0.3074 0.6711 0.6148
Th2 Th 0.5000 0.3968 0.0000
Th3 Th 0.6926 0.0563 0.3852

---

# 14
# LuCo2W PBE-GGA optimized geometry
# ΔE_f   8 meV per atom
data_LuCo2W
_chemical_formula_sum 'Lu1 Co2 W1'
_cell_length_a 3.0368
_cell_length_b 3.0368
_cell_length_c 6.7022
_cell_angle_alpha 90.00
_cell_angle_beta 90.00
_cell_angle_gamma 90.00
_symmetry_space_group_name_H-M 'P 1'
_symmetry_Int_Tables_number 1
_symmetry_space_group_name_Hall 'P 1'
loop_
_atom_site_label
_atom_site_type_symbol
_atom_site_fract_x
_atom_site_fract_y
_atom_site_fract_z
Lu1 Lu 0.5000 0.5000 0.5000
Co1 Co 0.0000 0.0000 0.8000
Co2 Co 0.0000 0.0000 0.2000
W1 W 0.5000 0.5000 0.0000

---

# 15
# TaReCl2 PBE-GGA optimized geometry
# Relative energy among the computed polymorphs   1.725 eV/atom
# ΔE_f (raw)   4.90 eV/f.u.
data_TaReCl2
_chemical_formula_sum 'Ta1 Re1 Cl2'
_cell_length_a 5.0092
_cell_length_b 5.0092
_cell_length_c 2.8367
_cell_angle_alpha 90.00
_cell_angle_beta 90.00
_cell_angle_gamma 111.02
_symmetry_space_group_name_H-M 'P 1'
_symmetry_Int_Tables_number 1
_symmetry_space_group_name_Hall 'P 1'
loop_
_atom_site_label
_atom_site_type_symbol
_atom_site_fract_x
_atom_site_fract_y
_atom_site_fract_z
Re1 Re 0.5000 0.0000 0.5000
Cl1 Cl 0.0000 0.0000 0.0000
Cl2 Cl 0.5000 0.5000 0.0000
Ta1 Ta 0.0000 0.5000 0.5000

---

# 16
# LaPm8Mg2 PBE-GGA optimized geometry
# ΔE_f   123 meV per atom
# Relative energy among the computed polymorphs   0.112 eV/atom
data_LaPm8Mg2
_chemical_formula_sum 'La1 Pm8 Mg2'
_cell_length_a 6.4605
_cell_length_b 10.2516
_cell_length_c 10.2516
_cell_angle_alpha 38.78
_cell_angle_beta 62.59
_cell_angle_gamma 62.59
_symmetry_space_group_name_H-M 'P 1'
_symmetry_Int_Tables_number 1
_symmetry_space_group_name_Hall 'P 1'
loop_
_atom_site_label
_atom_site_type_symbol
_atom_site_fract_x
_atom_site_fract_y
_atom_site_fract_z
La1 La 0.0000 0.0000 0.0000
Pm1 Pm 0.7238 0.1546 0.6534
Pm2 Pm 0.2762 0.3466 0.8454
Pm3 Pm 0.7314 0.2214 0.2214
Pm4 Pm 0.2686 0.7786 0.7786
Pm5 Pm 0.7238 0.6534 0.1546
Pm6 Pm 0.2762 0.8454 0.3466
Pm7 Pm 0.2494 0.4154 0.4154
Pm8 Pm 0.7506 0.5846 0.5846
Mg1 Mg 0.1796 0.2556 0.2556
Mg2 Mg 0.8204 0.7444 0.7444

---

# 17
# SbAs4Pt PBE-GGA optimized geometry
# ΔE_f (raw)   3.42 eV/f.u.
data_SbAs4Pt
_chemical_formula_sum 'Sb1 As4 Pt1'
_cell_length_a 5.5573
_cell_length_b 5.5573
_cell_length_c 5.5573
_cell_angle_alpha 60.00
_cell_angle_beta 60.00
_cell_angle_gamma 60.00
_symmetry_space_group_name_H-M 'P 1'
_symmetry_Int_Tables_number 1
_symmetry_space_group_name_Hall 'P 1'
loop_
_atom_site_label
_atom_site_type_symbol
_atom_site_fract_x
_atom_site_fract_y
_atom_site_fract_z
Sb1 Sb 0.0000 0.0000 0.0000
As1 As 0.8692 0.3769 0.3769
As2 As 0.3769 0.3769 0.8692
As3 As 0.3769 0.8692 0.3769
As4 As 0.3769 0.3769 0.3769
Pt1 Pt 0.7500 0.7500 0.7500

---

# 18
# Nd5Ru4 PBE-GGA optimized geometry
# ΔE_f   -123 meV per atom
data_Nd5Ru4
_chemical_formula_sum 'Nd5 Ru4'
_cell_length_a 4.4228
_cell_length_b 5.8642
_cell_length_c 9.8056
_cell_angle_alpha 74.29
_cell_angle_beta 76.97
_cell_angle_gamma 67.85
_symmetry_space_group_name_H-M 'P 1'
_symmetry_Int_Tables_number 1
_symmetry_space_group_name_Hall 'P 1'
loop_
_atom_site_label
_atom_site_type_symbol
_atom_site_fract_x
_atom_site_fract_y
_atom_site_fract_z
Nd1 Nd 0.1117 0.1705 0.6060
Nd2 Nd 0.8883 0.8295 0.3940
Nd3 Nd 0.7582 0.6575 0.8262
Nd4 Nd 0.2418 0.3425 0.1738
Nd5 Nd 0.0000 0.0000 0.0000
Ru1 Ru 0.4537 0.2493 0.8432
Ru2 Ru 0.5463 0.7507 0.1568
Ru3 Ru 0.4081 0.5696 0.6141
Ru4 Ru 0.5919 0.4304 0.3859

---

# 19
# LaSb3 PBE-GGA optimized geometry
# ΔE_f (raw)   -1.34 eV/f.u.
data_LaSb3
_chemical_formula_sum 'La1 Sb3'
_cell_length_a 5.5121
_cell_length_b 5.5121
_cell_length_c 5.5121
_cell_angle_alpha 60.00
_cell_angle_beta 60.00
_cell_angle_gamma 60.00
_symmetry_space_group_name_H-M 'P 1'
_symmetry_Int_Tables_number 1
_symmetry_space_group_name_Hall 'P 1'
loop_
_atom_site_label
_atom_site_type_symbol
_atom_site_fract_x
_atom_site_fract_y
_atom_site_fract_z
La1 La 0.0000 0.0000 0.0000
Sb1 Sb 0.2500 0.2500 0.2500
Sb2 Sb 0.5000 0.5000 0.5000
Sb3 Sb 0.7500 0.7500 0.7500

---

# 20
# BaTl2Cu2Cl6 PBE-GGA optimized geometry
# ΔE_f (raw)   -12.90 eV/f.u.
data_BaTl2Cu2Cl6
_chemical_formula_sum 'Ba1 Tl2 Cu2 Cl6'
_cell_length_a 7.6238
_cell_length_b 7.5374
_cell_length_c 8.0456
_cell_angle_alpha 115.05
_cell_angle_beta 90.00
_cell_angle_gamma 120.38
_symmetry_space_group_name_H-M 'P 1'
_symmetry_Int_Tables_number 1
_symmetry_space_group_name_Hall 'P 1'
loop_
_atom_site_label
_atom_site_type_symbol
_atom_site_fract_x
_atom_site_fract_y
_atom_site_fract_z
Ba1 Ba 0.5000 0.0000 0.5000
Tl1 Tl 0.7253 0.4505 0.1833
Tl2 Tl 0.2747 0.5495 0.8167
Cu1 Cu 0.9585 0.9170 0.7902
Cu2 Cu 0.0415 0.0830 0.2098
Cl1 Cl 0.7630 0.5260 0.6220
Cl2 Cl 0.1674 0.8552 0.1674
Cl3 Cl 0.3122 0.1448 0.8326
Cl4 Cl 0.8326 0.1448 0.8326
Cl5 Cl 0.6878 0.8552 0.1674
Cl6 Cl 0.2370 0.4740 0.3780

---

no.,calculated density (g/cm³),total magnetization (μB per atom)
1,6.3,0.0000
2,5.3,0.0000
3,11.9,0.7411
4,2.1,0.0000
5,8.7,0.0000
6,12.9,0.0000
7,8.6,0.0000
8,8.3,0.1400
9,7.2,0.0001
10,11.1,0.0000
11,7.3,2.5967
12,6.4,0.1246
13,12.7,0.0000
14,12.8,0.0036
15,10.9,0.0006
16,6.0,0.0000
17,8.4,0.0000
18,8.3,0.0000
19,7.1,0.0000
20,4.2,0.0165